Entry 1:
The following is a PBE-GGA calculation of a geometry-optimized ReSi2Cl structure, from the Alexandria database.

The structure belongs to space group F-43m (No. 216); the cell edges are 6.171, 6.171 and 6.171 Å and the angles 90.00°, 90.00° and 90.00°. The distinct sites, in fractional coordinates, are Re at (0.000, 0.000, 0.000), Si at (0.000, 0.000, 0.500), Si at (0.250, 0.250, 0.750) and Cl at (0.250, 0.250, 0.250).

The formation energy (no corrections) is 72.3 kJ per mole of atoms. For the size of the total moment, the calculation gives 0.00 μB/cell. The total energy comes out at -5.536 eV/atom.



Entry 2:
The following is a PBE-GGA calculation of a geometry-optimized ReSi2Cl structure, from the Alexandria database.

The structure belongs to space group C2/m (No. 12); the cell edges are 7.266, 6.900 and 2.747 Å and the angles 90.00°, 110.50° and 90.00°. The distinct sites, in fractional coordinates, are Re at (0.000, 0.000, 0.000), Si at (0.250, 0.250, 0.500) and Cl at (0.000, 0.500, 0.000).

The formation energy (no corrections) is 39.8 kJ per mole of atoms. For the size of the total moment, the calculation gives 0.00 μB/cell. The total energy comes out at -5.873 eV/atom.



Entry 3:
The following is a PBE-GGA calculation of a geometry-optimized ReSiCl2 structure, from the Alexandria database.

The structure belongs to space group I-42d (No. 122); the cell edges are 8.700, 8.700 and 4.703 Å and the angles 90.00°, 90.00° and 90.00°. The distinct sites, in fractional coordinates, are Re at (0.000, 0.000, 0.000), Si at (0.000, 0.000, 0.500) and Cl at (0.112, 0.750, 0.125).

The formation energy (no corrections) is 35.5 kJ per mole of atoms. For the size of the total moment, the calculation gives 2.91 μB/cell. The total energy comes out at -5.023 eV/atom.



Entry 4:
The following is a PBE-GGA calculation of a geometry-optimized ReSi2Cl structure, from the Alexandria database.

The structure belongs to space group P4/mmm (No. 123); the cell edges are 3.048, 3.048 and 7.017 Å and the angles 90.00°, 90.00° and 90.00°. The distinct sites, in fractional coordinates, are Re at (0.000, 0.000, 0.000), Si at (0.500, 0.500, 0.197) and Cl at (0.000, 0.000, 0.500).

The formation energy (no corrections) is 21.4 kJ per mole of atoms. For the size of the total moment, the calculation gives 0.00 μB/cell. The total energy comes out at -6.064 eV/atom.



Entry 5:
The following is a PBE-GGA calculation of a geometry-optimized ReSi2Cl structure, from the Alexandria database.

The structure belongs to space group Pmmm (No. 47); the cell edges are 2.767, 4.633 and 4.696 Å and the angles 90.00°, 90.00° and 90.00°. The distinct sites, in fractional coordinates, are Re at (0.000, 0.000, 0.000), Si at (0.000, 0.500, 0.500), Si at (0.500, 0.500, 0.000) and Cl at (0.500, 0.000, 0.500).

The formation energy (no corrections) is 80.8 kJ per mole of atoms. For the size of the total moment, the calculation gives 0.00 μB/cell. The total energy comes out at -5.448 eV/atom.



Entry 6:
The following is a PBE-GGA calculation of a geometry-optimized ReSiCl2 structure, from the Alexandria database.

The structure belongs to space group R-3m (No. 166, hexagonal axes); the cell edges are 2.9662, 2.9662 and 29.8960 Å and the angles 90.00°, 90.00° and 120.00°. The distinct sites, in fractional coordinates, are Re at (0.0000, 0.0000, 0.0000), Si at (0.0000, 0.0000, 0.5000) and Cl at (0.0000, 0.0000, 0.2718).

The formation energy (no corrections) is 61.2 kJ per mole of atoms. For the size of the total moment, the calculation gives 0.00 μB/cell. The total energy comes out at -4.757 eV/atom.



Entry 7:
The following is a PBE-GGA calculation of a geometry-optimized ReSiCl2 structure, from the Alexandria database.

The structure belongs to space group Pmmm (No. 47); the cell edges are 2.853, 4.422 and 5.223 Å and the angles 90.00°, 90.00° and 90.00°. The distinct sites, in fractional coordinates, are Re at (0.000, 0.000, 0.000), Si at (0.500, 0.000, 0.500), Cl at (0.000, 0.500, 0.500) and Cl at (0.500, 0.500, 0.000).

The formation energy (no corrections) is 77.4 kJ per mole of atoms. For the size of the total moment, the calculation gives 0.98 μB/cell. The total energy comes out at -4.589 eV/atom.



Entry 8:
The following is a PBE-GGA calculation of a geometry-optimized ReSi2Cl structure, from the Alexandria database.

The structure belongs to space group P2/m (No. 10); the cell edges are 2.987, 3.844 and 5.263 Å and the angles 90.00°, 90.09° and 90.00°. The distinct sites, in fractional coordinates, are Re at (0.000, 0.000, 0.000), Si at (0.499, 0.500, 0.764) and Cl at (0.000, 0.000, 0.500).

The formation energy (no corrections) is 55.5 kJ per mole of atoms. For the size of the total moment, the calculation gives 0.00 μB/cell. The total energy comes out at -5.710 eV/atom.



Entry 9:
The following is a PBE-GGA calculation of a geometry-optimized ReSiCl2 structure, from the Alexandria database.

The structure belongs to space group I-4m2 (No. 119); the cell edges are 4.194, 4.194 and 7.257 Å and the angles 90.00°, 90.00° and 90.00°. The distinct sites, in fractional coordinates, are Re at (0.000, 0.000, 0.000), Si at (0.000, 0.500, 0.750), Cl at (0.000, 0.000, 0.500) and Cl at (0.000, 0.500, 0.250).

The formation energy (no corrections) is 97.4 kJ per mole of atoms. For the size of the total moment, the calculation gives 0.00 μB/cell. The total energy comes out at -4.382 eV/atom.



Entry 10:
The following is a PBE-GGA calculation of a geometry-optimized ReSiCl2 structure, from the Alexandria database.

The structure belongs to space group P4/mmm (No. 123); the cell edges are 2.951, 2.951 and 9.496 Å and the angles 90.00°, 90.00° and 90.00°. The distinct sites, in fractional coordinates, are Re at (0.000, 0.000, 0.000), Si at (0.000, 0.000, 0.500) and Cl at (0.500, 0.500, 0.160).

The formation energy (no corrections) is 99.7 kJ per mole of atoms. For the size of the total moment, the calculation gives 0.69 μB/cell. The total energy comes out at -4.358 eV/atom.



Entry 11:
The following is a PBE-GGA calculation of a geometry-optimized ReSiCl2 structure, from the Alexandria database.

The structure belongs to space group Fm-3m (No. 225); the cell edges are 6.432, 6.432 and 6.432 Å and the angles 90.00°, 90.00° and 90.00°. The distinct sites, in fractional coordinates, are Re at (0.000, 0.000, 0.000), Si at (0.000, 0.000, 0.500) and Cl at (0.250, 0.250, 0.250).

The formation energy (no corrections) is 119.5 kJ per mole of atoms. For the size of the total moment, the calculation gives 9.73 μB/cell. The total energy comes out at -4.153 eV/atom.



Entry 12:
The following is a PBE-GGA calculation of a geometry-optimized ReSiCl2 structure, from the Alexandria database.

The structure belongs to space group Pmmm (No. 47); the cell edges are 2.916, 3.972 and 6.021 Å and the angles 90.00°, 90.00° and 90.00°. The distinct sites, in fractional coordinates, are Re at (0.000, 0.000, 0.000), Si at (0.000, 0.000, 0.500) and Cl at (0.500, 0.500, 0.233).

The formation energy (no corrections) is 117.8 kJ per mole of atoms. For the size of the total moment, the calculation gives 2.18 μB/cell. The total energy comes out at -4.170 eV/atom.